# 1
The following is a PBE calculation of LaPtCl2 after structural relaxation, from Alexandria.

The structure in POSCAR format:
```
LaPtCl2
1.0
3.142 -4.680 0.000
3.142 4.680 0.000
-3.120 0.000 3.245
La Pt Cl
1 1 2
Direct
0.000 0.000 0.000
0.500 0.500 0.000
0.000 0.500 0.500
0.500 0.000 0.500
```

Calculated values
- Offset from the most stable computed form: 0.560 eV/f.u.
- E_form (uncorrected): -4.50 eV/f.u.
- Final energy: -4.790 eV/atom

# 2
The following is a PBE calculation of La2PtCl after structural relaxation, from Alexandria.

The structure in POSCAR format:
```
La2PtCl
1.0
2.013 1.162 10.153
-2.013 1.162 10.153
0.000 -2.325 10.153
La Pt Cl
2 1 1
Direct
0.000 0.000 0.000
0.218 0.218 0.218
0.500 0.500 0.500
0.724 0.724 0.724
```

Calculated values
- Offset from the most stable computed form: 2.339 eV/f.u.
- E_form (uncorrected): -3.44 eV/f.u.
- Final energy: -5.295 eV/atom

# 3
The following is a PBE calculation of La2Pt2Cl after structural relaxation, from Alexandria.

The structure in POSCAR format:
```
La2Pt2Cl
1.0
8.257 0.000 0.000
0.000 8.257 0.000
0.000 0.000 3.688
La Pt Cl
4 4 2
Direct
0.173 0.327 0.000
0.327 0.827 0.000
0.673 0.173 0.000
0.827 0.673 0.000
0.123 0.623 0.500
0.377 0.123 0.500
0.623 0.877 0.500
0.877 0.377 0.500
0.000 0.000 0.500
0.500 0.500 0.500
```

Calculated values
- Offset from the most stable computed form: 0.692 eV/f.u.
- E_form (uncorrected): -6.12 eV/f.u.
- Final energy: -5.981 eV/atom

- Look up the final energy of the third one.
  -5.981 eV/atom